1.
Compound: Pm4TmBi5
Source: Alexandria via LeMat-Bulk
Functional: GGA-PBE
Structure: relaxed

extended XYZ file:
```
10
Lattice="-2.276 2.276 16.076 2.276 -2.276 16.076 2.276 2.276 -16.076" Properties=species:S:1:pos:R:3 pbc="T T T"
Pm 0.000 0.000 3.203
Pm 0.000 0.000 9.675
Pm 0.000 0.000 22.476
Pm 0.000 0.000 28.948
Tm 0.000 0.000 16.076
Bi 0.000 0.000 0.000
Bi 0.000 0.000 6.433
Bi 0.000 0.000 12.926
Bi 0.000 0.000 19.225
Bi 0.000 0.000 25.718
```

Calculated values
space group = I4/mmm
magnetic moment = 0.0 μB per formula unit
DOS at the Fermi energy = 1.21 states/eV/cell
mass density = 8.94 g cm⁻³
energy of formation from the pure elements = -904 meV per atom

2.
Compound: PmTm2Bi
Source: Alexandria via LeMat-Bulk
Functional: GGA-PBE
Structure: relaxed

extended XYZ file:
```
4
Lattice="1.827 1.055 10.772 -1.827 1.055 10.772 0.000 -2.109 10.772" Properties=species:S:1:pos:R:3 pbc="T T T"
Pm 0.000 0.000 0.000
Tm 0.000 0.000 18.700
Tm 0.000 0.000 24.406
Bi 0.000 0.000 5.391
```

Calculated values
energy relative to the lowest polymorph listed for this composition = 295 meV/atom
space group = R3m
magnetic moment = 0.0 μB per formula unit
DOS at the Fermi energy = 5.21 states/eV/cell
mass density = 9.23 g cm⁻³
energy of formation from the pure elements = -163 meV per atom

3.
Compound: Pm3TmBi4
Source: Alexandria via LeMat-Bulk
Functional: GGA-PBE
Structure: relaxed

extended XYZ file:
```
8
Lattice="6.424 0.000 0.000 0.000 6.424 0.000 0.000 0.000 6.424" Properties=species:S:1:pos:R:3 pbc="T T T"
Pm 0.000 0.000 3.212
Pm 0.000 3.212 0.000
Pm 3.212 0.000 0.000
Tm 3.212 3.212 3.212
Bi 0.000 0.000 0.000
Bi 0.000 3.212 3.212
Bi 3.212 0.000 3.212
Bi 3.212 3.212 0.000
```

Calculated values
space group = Pm-3m
magnetic moment = 0.0 μB per formula unit
DOS at the Fermi energy = 0.45 states/eV/cell
mass density = 9.02 g cm⁻³
energy of formation from the pure elements = -896 meV per atom

4.
Compound: Pm3Tm2Bi3
Source: Alexandria via LeMat-Bulk
Functional: GGA-PBE
Structure: relaxed

extended XYZ file:
```
16
Lattice="9.280 0.000 0.000 -4.640 8.036 0.000 0.000 0.000 6.476" Properties=species:S:1:pos:R:3 pbc="T T T"
Pm -1.139 1.973 1.619
Pm -3.500 6.063 4.857
Pm 2.279 0.000 1.619
Pm 1.139 1.973 4.857
Pm 7.001 0.000 4.857
Pm 3.500 6.063 1.619
Tm 0.000 5.358 0.000
Tm 0.000 5.358 3.238
Tm 4.640 2.679 0.000
Tm 4.640 2.679 3.238
Bi -1.826 3.163 4.857
Bi -2.814 4.873 1.619
Bi 3.652 0.000 4.857
Bi 1.826 3.163 1.619
Bi 5.627 0.000 1.619
Bi 2.814 4.873 4.857
```

Calculated values
space group = P6_3/mcm
magnetic moment = 0.0 μB per formula unit
DOS at the Fermi energy = 15.31 states/eV/cell
mass density = 9.63 g cm⁻³
energy of formation from the pure elements = -709 meV per atom

5.
Compound: PmTmBi
Source: Alexandria via LeMat-Bulk
Functional: GGA-PBE
Structure: relaxed

extended XYZ file:
```
6
Lattice="6.119 -2.115 0.000 6.119 2.115 0.000 -4.208 0.000 7.363" Properties=species:S:1:pos:R:3 pbc="T T T"
Pm -0.569 0.000 2.476
Pm 8.598 0.000 4.887
Tm 0.305 0.000 6.966
Tm 7.724 0.000 0.398
Bi 2.854 0.000 2.321
Bi 5.175 0.000 5.043
```

Calculated values
energy relative to the lowest polymorph listed for this composition = 95 meV/atom
space group = C2/m
magnetic moment = 0.0 μB per formula unit
DOS at the Fermi energy = 7.97 states/eV/cell
mass density = 9.11 g cm⁻³
energy of formation from the pure elements = -510 meV per atom

6.
Compound: PmTm3Bi3
Source: Alexandria via LeMat-Bulk
Functional: GGA-PBE
Structure: relaxed

extended XYZ file:
```
14
Lattice="4.560 2.633 6.248 -4.560 2.633 6.248 0.000 -5.266 6.248" Properties=species:S:1:pos:R:3 pbc="T T T"
Pm 0.000 0.000 3.107
Pm 0.000 0.000 15.637
Tm -1.169 -2.028 7.868
Tm -2.340 -0.002 10.875
Tm -1.172 2.026 7.868
Tm 1.172 -2.026 10.875
Tm 2.340 0.002 7.868
Tm 1.169 2.028 10.875
Bi -3.526 -0.014 7.744
Bi -1.751 -3.061 11.000
Bi 1.775 -3.047 7.744
Bi -1.775 3.047 11.000
Bi 1.751 3.061 7.744
Bi 3.526 0.014 11.000
```

Calculated values
space group = R-3
magnetic moment = 0.0 μB per formula unit
DOS at the Fermi energy = 10.32 states/eV/cell
mass density = 9.43 g cm⁻³
energy of formation from the pure elements = -604 meV per atom

7.
Compound: Pm2TmBi2
Source: Alexandria via LeMat-Bulk
Functional: GGA-PBE
Structure: relaxed

extended XYZ file:
```
10
Lattice="-4.317 6.080 3.226 4.317 -6.080 3.226 4.317 6.080 -3.226" Properties=species:S:1:pos:R:3 pbc="T T T"
Pm 1.269 1.839 0.000
Pm 5.586 4.242 0.000
Pm -1.269 1.839 3.226
Pm 3.048 4.242 3.226
Tm 4.317 0.000 1.613
Tm 0.000 6.080 1.613
Bi 6.734 1.317 0.000
Bi 2.417 4.763 0.000
Bi 1.900 1.317 3.226
Bi -2.417 4.763 3.226
```

Calculated values
space group = Ibam
magnetic moment = 0.0 μB per formula unit
DOS at the Fermi energy = 8.33 states/eV/cell
mass density = 8.60 g cm⁻³
energy of formation from the pure elements = -595 meV per atom

8.
Compound: PmTm2Bi
Source: Alexandria via LeMat-Bulk
Functional: GGA-PBE
Structure: relaxed

extended XYZ file:
```
4
Lattice="4.010 0.000 0.000 0.000 4.010 0.000 0.000 0.000 7.460" Properties=species:S:1:pos:R:3 pbc="T T T"
Pm 0.000 0.000 0.000
Tm 2.005 2.005 2.044
Tm 2.005 2.005 5.416
Bi 0.000 0.000 3.730
```

Calculated values
energy relative to the lowest polymorph listed for this composition = 141 meV/atom
space group = P4/mmm
magnetic moment = 0.0 μB per formula unit
DOS at the Fermi energy = 3.93 states/eV/cell
mass density = 9.58 g cm⁻³
energy of formation from the pure elements = -317 meV per atom

no.,VASP energy (eV per atom)
1,-5.19
2,-4.56
3,-5.18
4,-5.06
5,-4.88
6,-4.86
7,-4.94
8,-4.71